Pr2SiSnPt6: relaxed, GGA-PBE.

DOS(E_F): 6.4 states/eV/f.u.
Calculated volume: 421 Å³/cell
Crystal system: orthorhombic
Electronic total energy: -128.33 eV/cell
Space group: Pmmn, No. 59

Cell lengths 5.607, 8.687, 8.635 Å; angles 90.00, 90.00, 90.00 degrees
Atoms (fractional coordinates):
Pr1 0.250 0.002 0.232
Pr2 0.250 0.498 0.232
Pr3 0.750 0.502 0.768
Pr4 0.750 0.998 0.768
Si1 0.250 0.750 0.737
Si2 0.750 0.250 0.263
Sn1 0.250 0.250 0.782
Sn2 0.750 0.750 0.218
Pt1 0.002 0.250 0.500
Pt2 0.007 0.750 0.964
Pt3 0.250 0.502 0.604
Pt4 0.250 0.998 0.604
Pt5 0.493 0.750 0.964
Pt6 0.498 0.250 0.500
Pt7 0.502 0.750 0.500
Pt8 0.507 0.250 0.036
Pt9 0.750 0.002 0.396
Pt10 0.750 0.498 0.396
Pt11 0.993 0.250 0.036
Pt12 0.998 0.750 0.500

---

Sr4Pt: relaxed, GGA-PBE.

DOS(E_F): 5.0 states/eV/f.u.
Energy of formation from the pure elements: -1.72 eV per formula unit
Calculated volume: 410 Å³/cell
Crystal system: tetragonal
Electronic total energy: -28.98 eV/cell
Space group: I4/m, No. 87

Cell lengths 10.265, 10.265, 3.892 Å; angles 90.00, 90.00, 90.00 degrees
Atoms (fractional coordinates):
Sr1 0.060 0.244 0.000
Sr2 0.244 0.940 0.000
Sr3 0.256 0.560 0.500
Sr4 0.440 0.256 0.500
Sr5 0.560 0.744 0.500
Sr6 0.744 0.440 0.500
Sr7 0.756 0.060 0.000
Sr8 0.940 0.756 0.000
Pt1 0.000 0.000 0.500
Pt2 0.500 0.500 0.000

---

Zn2BiAu: relaxed, GGA-PBE.

DOS(E_F): 1.6 states/eV/f.u.
Energy of formation from the pure elements: 0.21 eV per formula unit
Calculated volume: 265 Å³/cell
Crystal system: trigonal
Electronic total energy: -28.49 eV/cell
Space group: R-3m, No. 166

Cell lengths 3.835, 3.835, 20.784 Å; angles 90.00, 90.00, 120.00 degrees
Atoms (fractional coordinates):
Zn1 0.000 0.000 0.235
Zn2 0.000 0.000 0.765
Zn3 0.333 0.667 0.431
Zn4 0.333 0.667 0.902
Zn5 0.667 0.333 0.098
Zn6 0.667 0.333 0.569
Bi1 0.000 0.000 0.000
Bi2 0.333 0.667 0.667
Bi3 0.667 0.333 0.333
Au1 0.000 0.000 0.500
Au2 0.333 0.667 0.167
Au3 0.667 0.333 0.833

---

Q: What is the formula in the second record?
A: Sr4Pt